7
Lattice="-0.216 1.261 3.293 -7.547 -5.144 -2.318 6.891 -3.516 3.696" Properties=species:S:1:pos:R:3 comment="Tb4Dy2Y | the Alexandria database | PBE | relaxed" e_tot_ev_per_cell=-33.922 ef_ev_per_atom=0.04 pbc="T T T"
Dy 1.484 -5.147 3.964
Tb 0.468 -2.210 2.773
Tb -4.404 -5.045 -0.255
Tb -1.340 -5.190 1.899
Y 0.000 0.000 0.000
Tb 3.532 -2.354 4.926
Dy -2.356 -2.252 0.707